CoS2Br after structural relaxation. Source: the Alexandria database, functional PBE-GGA.

Unit cell a=7.339 b=7.339 c=7.339 alpha=27.45 beta=27.45 gamma=27.45
Positions (direct):
S (0.884, 0.884, 0.884)
S (0.116, 0.116, 0.116)
Br (0.000, 0.000, 0.000)
Co (0.500, 0.500, 0.500)

Crystal system: trigonal
Symmetry: R-3m (166)
Energy above the most stable polymorph in this dataset, meV/atom: 0